Entry 1:
Compound: Sc2MoRu
Source: the Alexandria database
Functional: GGA-PBEsol
Structure: relaxed

Cell lengths 5.744, 8.575, 2.921 Å; angles 90.00, 112.70, 90.00 degrees
Element x y z (fractional)
Sc 0.250 0.250 0.000
Sc 0.250 0.750 0.000
Sc 0.750 0.250 0.000
Sc 0.750 0.750 0.000
Mo 0.000 0.000 0.500
Mo 0.500 0.500 0.500
Ru 0.000 0.500 0.500
Ru 0.500 0.000 0.500

Results
Space group: C2/m
Total magnetic moment: 0.00 μB per cell
Relative energy among the computed polymorphs: 0.66 eV per formula unit
ΔE_f: 1.5 kJ/mol of atoms

Entry 2:
Compound: ScMoRu2
Source: the Alexandria database
Functional: GGA-PBEsol
Structure: relaxed

Cell lengths 3.091, 4.327, 9.025 Å; angles 90.00, 90.00, 90.00 degrees
Element x y z (fractional)
Sc 0.000 0.000 0.000
Sc 0.500 0.500 0.500
Mo 0.000 0.500 0.756
Mo 0.500 0.000 0.256
Ru 0.000 0.000 0.491
Ru 0.000 0.500 0.252
Ru 0.500 0.000 0.752
Ru 0.500 0.500 0.991

Results
Space group: Imm2
Total magnetic moment: 0.00 μB per cell
ΔE_f: -6.2 kJ/mol of atoms

Entry 3:
Compound: SrScMo2Ru
Source: the Alexandria database
Functional: GGA-PBEsol
Structure: relaxed

Cell lengths 4.484, 4.484, 5.236 Å; angles 90.00, 90.00, 90.00 degrees
Element x y z (fractional)
Sr 0.000 0.000 0.000
Sc 0.000 0.000 0.500
Mo 0.000 0.500 0.500
Mo 0.500 0.000 0.500
Ru 0.500 0.500 0.000

Results
Space group: P4/mmm
Total magnetic moment: 0.57 μB per cell
ΔE_f: 210.3 kJ/mol of atoms

Entry 4:
Compound: Mo2RuSe
Source: the Alexandria database
Functional: GGA-PBEsol
Structure: relaxed

Cell lengths 3.708, 3.708, 8.580 Å; angles 90.00, 90.00, 90.00 degrees
Element x y z (fractional)
Mo 0.000 0.500 0.250
Mo 0.000 0.500 0.750
Mo 0.500 0.000 0.250
Mo 0.500 0.000 0.750
Ru 0.000 0.000 0.000
Ru 0.500 0.500 0.500
Se 0.000 0.000 0.500
Se 0.500 0.500 0.000

Results
Energy relative to the elements, uncorrected: 0.301 eV per atom
Space group: I4/mmm
Total magnetic moment: 0.00 μB per cell

Entry 5:
Compound: Mo2RuSe4
Source: the Alexandria database
Functional: GGA-PBEsol
Structure: relaxed

Cell lengths 6.602, 6.613, 6.630 Å; angles 92.34, 92.58, 94.11 degrees
Element x y z (fractional)
Mo 0.000 0.000 0.000
Mo 0.128 0.684 0.179
Mo 0.353 0.038 0.220
Mo 0.814 0.862 0.314
Ru 0.036 0.220 0.356
Ru 0.167 0.900 0.536
Se 0.212 0.329 0.041
Se 0.325 0.824 0.890
Se 0.361 0.233 0.554
Se 0.451 0.712 0.399
Se 0.716 0.189 0.137
Se 0.791 0.662 0.981
Se 0.855 0.072 0.640
Se 0.949 0.573 0.510

Results
Energy relative to the elements, uncorrected: -0.553 eV per atom
Space group: P1
Total magnetic moment: 0.00 μB per cell
Relative energy among the computed polymorphs: 0.32 eV per formula unit

Entry 6:
Compound: MoRuSe2
Source: the Alexandria database
Functional: GGA-PBEsol
Structure: relaxed

Cell lengths 3.011, 3.011, 27.855 Å; angles 90.00, 90.00, 120.00 degrees
Element x y z (fractional)
Mo 0.000 0.000 0.000
Mo 0.333 0.667 0.667
Mo 0.667 0.333 0.333
Ru 0.000 0.000 0.252
Ru 0.333 0.667 0.919
Ru 0.667 0.333 0.586
Se 0.000 0.000 0.525
Se 0.000 0.000 0.730
Se 0.333 0.667 0.191
Se 0.333 0.667 0.397
Se 0.667 0.333 0.064
Se 0.667 0.333 0.858

Results
Energy relative to the elements, uncorrected: -0.073 eV per atom
Space group: R3m
Total magnetic moment: 0.00 μB per cell
Relative energy among the computed polymorphs: 0.33 eV per formula unit

Entry 7:
Compound: MoRu2Se
Source: the Alexandria database
Functional: GGA-PBEsol
Structure: relaxed

Cell lengths 2.883, 3.959, 5.143 Å; angles 90.00, 90.00, 90.00 degrees
Element x y z (fractional)
Mo 0.000 0.000 0.000
Ru 0.000 0.000 0.512
Ru 0.500 0.500 0.190
Se 0.500 0.500 0.686

Results
Energy relative to the elements, uncorrected: 0.294 eV per atom
Space group: Pmm2
Total magnetic moment: 0.00 μB per cell

Entry 8:
Compound: Mo2RuSe
Source: the Alexandria database
Functional: GGA-PBEsol
Structure: relaxed

Cell lengths 3.063, 3.063, 6.371 Å; angles 90.00, 90.00, 90.00 degrees
Element x y z (fractional)
Mo 0.000 0.000 0.000
Mo 0.500 0.500 0.273
Ru 0.000 0.000 0.500
Se 0.500 0.500 0.780

Results
Energy relative to the elements, uncorrected: 0.083 eV per atom
Space group: P4mm
Total magnetic moment: 0.00 μB per cell

Entry 9:
Compound: Mo2RuSe
Source: the Alexandria database
Functional: GGA-PBEsol
Structure: relaxed

Cell lengths 5.228, 8.168, 2.884 Å; angles 90.00, 104.53, 90.00 degrees
Element x y z (fractional)
Mo 0.250 0.250 0.000
Mo 0.250 0.750 0.000
Mo 0.750 0.250 0.000
Mo 0.750 0.750 0.000
Ru 0.000 0.000 0.500
Ru 0.500 0.500 0.500
Se 0.000 0.500 0.500
Se 0.500 0.000 0.500

Results
Energy relative to the elements, uncorrected: 0.301 eV per atom
Space group: C2/m
Total magnetic moment: 0.00 μB per cell

Entry 10:
Compound: Mo2RuSe4
Source: the Alexandria database
Functional: GGA-PBEsol
Structure: relaxed

Cell lengths 6.592, 6.603, 6.680 Å; angles 91.69, 94.31, 93.84 degrees
Element x y z (fractional)
Mo 0.083 0.268 0.447
Mo 0.270 0.959 0.590
Mo 0.730 0.041 0.410
Mo 0.917 0.732 0.553
Ru 0.049 0.913 0.233
Ru 0.951 0.087 0.767
Se 0.129 0.776 0.884
Se 0.237 0.632 0.376
Se 0.281 0.289 0.787
Se 0.369 0.133 0.264
Se 0.631 0.867 0.736
Se 0.719 0.711 0.213
Se 0.763 0.368 0.624
Se 0.871 0.224 0.116

Results
Energy relative to the elements, uncorrected: -0.599 eV per atom
Space group: P-1
Total magnetic moment: 0.00 μB per cell
Relative energy among the computed polymorphs: 0.00 eV per formula unit

Entry 11:
Compound: MoRu2Se
Source: the Alexandria database
Functional: GGA-PBEsol
Structure: relaxed

Cell lengths 9.118, 2.848, 4.483 Å; angles 90.00, 92.94, 90.00 degrees
Element x y z (fractional)
Mo 0.000 0.000 0.000
Mo 0.500 0.500 0.000
Ru 0.231 0.500 0.237
Ru 0.269 0.000 0.763
Ru 0.731 0.000 0.237
Ru 0.769 0.500 0.763
Se 0.000 0.500 0.500
Se 0.500 0.000 0.500

Results
Energy relative to the elements, uncorrected: 0.200 eV per atom
Space group: C2/m
Total magnetic moment: 0.00 μB per cell

Entry 12:
Compound: MoRuSe2
Source: the Alexandria database
Functional: GGA-PBEsol
Structure: relaxed

Cell lengths 2.954, 2.954, 7.826 Å; angles 90.00, 90.00, 90.00 degrees
Element x y z (fractional)
Mo 0.000 0.000 0.000
Ru 0.500 0.500 0.250
Se 0.000 0.000 0.431
Se 0.500 0.500 0.812

Results
Energy relative to the elements, uncorrected: -0.155 eV per atom
Space group: P4mm
Total magnetic moment: 0.00 μB per cell
Relative energy among the computed polymorphs: 0.00 eV per formula unit